The following is a DFT calculation (GGA-PBE) of a geometry-optimized BaScZn2 structure.

Results
- DFT formation energy (eV/f.u.) = 0.8
- theoretical density (g cm⁻³) = 5.0
- total DFT energy (no corrections) (eV per cell) = -10.0

The structure in POSCAR format:
```
BaScZn2
1.0
-2.116 -3.588 -4.302
-0.751 -5.719 1.608
-1.572 5.310 2.278
Zn Sc Ba
2 1 1
direct
0.250 0.750 0.500
0.000 0.000 0.000
0.750 0.250 0.500
0.500 0.500 0.000
```